1.
## Mn3SiAg (PBE-GGA)

Data for Mn3SiAg after structural relaxation.

Formation energy (no corrections) = 0.604 eV/atom
Crystal system = cubic

Unit cell a=4.4337 b=4.4337 c=4.4337 alpha=90.00 beta=90.00 gamma=90.00
Last column: nearest neighbours and their distance in Å.
Positions (direct):
Mn1 0.0000 0.0000 0.5000  2 Si 2.22
Mn2 0.0000 0.5000 0.0000  2 Si 2.22
Mn3 0.5000 0.0000 0.0000  2 Si 2.22
Si1 0.0000 0.0000 0.0000  6 Mn 2.22
Ag1 0.5000 0.5000 0.5000  12 Mn 3.14


2.
## Tl2InCo (PBE-GGA)

Data for Tl2InCo after structural relaxation.

Uncorrected energy = -3.08 eV per atom
Crystal system = monoclinic

Unit cell a=5.9654 b=5.9654 c=3.4961 alpha=105.08 beta=105.08 gamma=118.12
Last column: nearest neighbours and their distance in Å.
Positions (direct):
Tl1 0.0000 0.5000 0.0000  2 Co 3.04, 2 In 3.04, 4 Tl 3.07-3.28
Tl2 0.5000 0.0000 0.0000  2 Co 3.04, 2 In 3.04, 4 Tl 3.07-3.28
In1 0.0000 0.0000 0.5000  4 Tl 3.04, 4 Co 3.07-3.28
Co1 0.5000 0.5000 0.5000  4 Tl 3.04, 4 In 3.07-3.28


3.
## CsRbHgPd (PBE-GGA)

Data for CsRbHgPd after structural relaxation.

Uncorrected energy = -1.80 eV per atom
Crystal system = cubic

Unit cell a=6.0506 b=6.0506 c=6.0506 alpha=60.00 beta=60.00 gamma=60.00
Last column: nearest neighbours and their distance in Å.
Positions (direct):
Cs1 0.0000 0.0000 0.0000  4 Pd 3.71, 4 Hg 3.71
Rb1 0.5000 0.5000 0.5000  4 Pd 3.71, 4 Hg 3.71
Hg1 0.2500 0.2500 0.2500  4 Rb 3.71, 4 Cs 3.71
Pd1 0.7500 0.7500 0.7500  4 Cs 3.71, 4 Rb 3.71


4.
## LiSc2Pd (PBE-GGA)

Data for LiSc2Pd after structural relaxation.

Uncorrected energy = -5.03 eV per atom
Crystal system = orthorhombic

Unit cell a=7.7293 b=7.7293 c=7.7293 alpha=156.41 beta=152.87 gamma=36.25
Last column: nearest neighbours and their distance in Å.
Positions (direct):
Li1 0.0000 0.0000 0.0000  4 Pd 2.40
Sc1 0.3246 0.3246 0.0000  1 Pd 2.58
Sc2 0.6754 0.6754 0.0000  1 Pd 2.58
Pd1 0.5000 0.5000 0.0000  4 Li 2.40, 2 Sc 2.58


5.
## Th3Al8Au3 (PBE-GGA)

Data for Th3Al8Au3 after structural relaxation.

Uncorrected energy = -4.94 eV per atom
Crystal system = monoclinic

Unit cell a=8.3614 b=8.3614 c=9.8855 alpha=124.70 beta=124.70 gamma=30.90
Last column: nearest neighbours and their distance in Å.
Positions (direct):
Th1 0.0000 0.0000 0.0000  8 Al 3.21-3.34, 4 Au 3.38
Th2 0.3072 0.3072 0.3101  10 Al 3.19-3.57, 5 Au 3.22-3.54
Th3 0.6928 0.6928 0.6899  10 Al 3.19-3.57, 5 Au 3.22-3.54
Al1 0.1375 0.1375 0.8630  5 Al 2.71-2.82, 1 Au 2.90
Al2 0.1389 0.1389 0.4177  4 Au 2.62-2.80, 2 Al 2.91
Al3 0.3375 0.3375 0.9606  1 Au 2.62, 4 Al 2.66-2.77
Al4 0.4951 0.4951 0.2840  1 Au 2.56, 3 Al 2.66-2.82
Al5 0.5049 0.5049 0.7160  1 Au 2.56, 3 Al 2.66-2.82
Al6 0.6625 0.6625 0.0394  1 Au 2.62, 4 Al 2.66-2.77
Al7 0.8611 0.8611 0.5823  4 Au 2.62-2.80, 2 Al 2.91
Al8 0.8625 0.8625 0.1370  5 Al 2.71-2.82, 1 Au 2.90
Au1 0.0000 0.0000 0.5000  8 Al 2.80-3.05
Au2 0.3398 0.3398 0.6974  5 Al 2.56-2.75
Au3 0.6602 0.6602 0.3026  5 Al 2.56-2.75


6.
## SrSc2Be (PBE-GGA)

Data for SrSc2Be after structural relaxation.

Uncorrected energy = -4.31 eV per atom
Crystal system = tetragonal

Unit cell a=3.3378 b=3.3378 c=8.9922 alpha=90.00 beta=90.00 gamma=90.00
Last column: nearest neighbours and their distance in Å.
Positions (direct):
Sr1 0.0000 0.0000 0.0000  4 Sr 3.34
Sc1 0.5000 0.5000 0.3356  4 Be 2.79, 1 Sc 2.96
Sc2 0.5000 0.5000 0.6644  4 Be 2.79, 1 Sc 2.96
Be1 0.0000 0.0000 0.5000  8 Sc 2.79


7.
## NdPa2TcN4 (PBE-GGA)

Data for NdPa2TcN4 after structural relaxation.

Formation energy (no corrections) = -1.236 eV/atom
Crystal system = orthorhombic

Unit cell a=6.2229 b=6.2229 c=11.7917 alpha=90.00 beta=90.00 gamma=148.49
Last column: nearest neighbours and their distance in Å.
Positions (direct):
Nd1 0.1051 0.8949 0.7500  6 N 2.47-2.76
Nd2 0.8949 0.1051 0.2500  6 N 2.47-2.76
Pa1 0.3688 0.6312 0.5553  6 N 2.29-2.52
Pa2 0.3688 0.6312 0.9447  6 N 2.29-2.52
Pa3 0.6312 0.3688 0.0553  6 N 2.29-2.52
Pa4 0.6312 0.3688 0.4447  6 N 2.29-2.52
Tc1 0.1564 0.8436 0.2500  4 N 2.14-2.15
Tc2 0.8436 0.1564 0.7500  4 N 2.14-2.15
N1 0.0000 0.0000 0.0000  4 Pa 2.40
N2 0.0000 0.0000 0.5000  4 Pa 2.40
N3 0.2729 0.7271 0.1126  1 Tc 2.14, 1 Pa 2.29
N4 0.2729 0.7271 0.3874  1 Tc 2.14, 1 Pa 2.29
N5 0.4546 0.5454 0.7500  2 Tc 2.15
N6 0.5454 0.4546 0.2500  2 Tc 2.15
N7 0.7271 0.2729 0.6126  1 Tc 2.14, 1 Pa 2.29
N8 0.7271 0.2729 0.8874  1 Tc 2.14, 1 Pa 2.29


8.
## RbTl2BiRh (PBE-GGA)

Data for RbTl2BiRh after structural relaxation.

Uncorrected energy = -3.42 eV per atom
Crystal system = tetragonal

Unit cell a=5.3879 b=5.3879 c=5.5969 alpha=90.00 beta=90.00 gamma=90.00
Last column: nearest neighbours and their distance in Å.
Positions (direct):
Rb1 0.0000 0.0000 0.0000  4 Bi 3.81, 8 Tl 3.88
Tl1 0.0000 0.5000 0.5000  2 Rh 2.69
Tl2 0.5000 0.0000 0.5000  2 Rh 2.69
Bi1 0.5000 0.5000 0.0000  2 Rh 2.80
Rh1 0.5000 0.5000 0.5000  4 Tl 2.69, 2 Bi 2.80